The following is a PBE-GGA calculation of AcCe3Ru after structural relaxation, from the Alexandria database.

Calculated values
Energy relative to the elements in eV/atom: -0.0141
Symmetry: No. 221

Geometry as POSCAR:
```
AcCe3Ru
1.0
5.460 0.000 0.000
0.000 5.460 0.000
0.000 0.000 5.460
Ac Ce Ru
1 3 1
Cartesian
0.000 0.000 0.000
0.000 2.730 2.730
2.730 0.000 2.730
2.730 2.730 0.000
2.730 2.730 2.730
```